TaGaBr6 after structural relaxation. Source: Alexandria via LeMat-Bulk, functional GGA-PBE.

a = 7.191 Å, b = 7.191 Å, c = 7.079 Å
α = 98.86°, β = 98.86°, γ = 120.65°
Atoms (fractional coordinates):
Ta  0.000  0.000  0.000
Ga  0.500  0.500  0.500
Br  0.071  0.359  0.219
Br  0.221  0.221  0.782
Br  0.359  0.071  0.219
Br  0.641  0.929  0.781
Br  0.779  0.779  0.218
Br  0.929  0.641  0.781

Computed properties:
Density, g/cm3: 4.05
VASP energy, eV/atom: -3.9347
Uncorrected formation energy, eV/atom: -0.820